NiSb3O | PBE+U | optimized geometry

Unit cell a=4.8679 b=4.8679 c=4.8679 alpha=90.00 beta=90.00 gamma=90.00
Each line ends with the local moment (μB).
Fractional positions:
O 0.5000 0.5000 0.5000  0.82
Sb 0.5000 0.0000 0.0000  0.04
Ni 0.0000 0.0000 0.0000  0.09
Sb 0.0000 0.5000 0.0000  0.06
Sb 0.0000 0.0000 0.5000  0.09

Output
total DFT energy (no corrections)	-0.2322	Ry/atom
size of the total moment	1.5	μB per formula unit
energy above the most stable polymorph in this dataset	348	meV/atom
DOS(E_F)	3.0	states/eV/cell